(1)
Entry from the Alexandria database: a geometry-optimized GeSbTe2P structure (PBE).

The space group is P4/mmm (No. 123) and the conventional cell measures 5.291, 5.291 and 5.369 Å, with angles of 90.00, 90.00 and 90.00 degrees. The inequivalent atoms are Ge at (0.000, 0.000, 0.000), Sb at (0.000, 0.000, 0.500), Te at (0.000, 0.500, 0.000) and P at (0.500, 0.500, 0.500).

For the uncorrected formation energy, the calculation gives 971 meV/atom. For the polymorph energy (0 for the lowest one), the calculation gives 379 meV per atom.


(2)
Entry from the Alexandria database: a geometry-optimized Th4Ge2SbP structure (PBE).

The space group is P2/m (No. 10) and the conventional cell measures 7.458, 4.314 and 7.522 Å, with angles of 90.00, 109.43 and 90.00 degrees. The inequivalent atoms are Th at (0.239, 0.000, 0.234), Th at (0.248, 0.500, 0.761), Ge at (0.000, 0.000, 0.500), Ge at (0.000, 0.500, 0.000), Sb at (0.500, 0.500, 0.500) and P at (0.500, 0.000, 0.000).

For the uncorrected formation energy, the calculation gives -980 meV/atom.


(3)
Entry from the Alexandria database: a geometry-optimized Th6GeSb3P2 structure (PBE).

The space group is C2/m (No. 12) and the conventional cell measures 19.102, 4.309 and 8.792 Å, with angles of 90.00, 104.93 and 90.00 degrees. The inequivalent atoms are Th at (0.009, 0.000, 0.239), Th at (0.163, 0.500, 0.104), Th at (0.174, 0.500, 0.564), Ge at (0.000, 0.500, 0.000), Sb at (0.000, 0.500, 0.500), Sb at (0.165, 0.000, 0.832) and P at (0.168, 0.000, 0.334).

For the uncorrected formation energy, the calculation gives -1114 meV/atom.


(4)
Entry from the Alexandria database: a geometry-optimized Zn2GeSbP structure (PBE).

The space group is P4/mmm (No. 123) and the conventional cell measures 5.042, 5.042 and 5.274 Å, with angles of 90.00, 90.00 and 90.00 degrees. The inequivalent atoms are Zn at (0.000, 0.500, 0.000), Ge at (0.000, 0.000, 0.500), Sb at (0.500, 0.500, 0.000) and P at (0.500, 0.500, 0.500).

For the uncorrected formation energy, the calculation gives 875 meV/atom.


(5)
Entry from the Alexandria database: a geometry-optimized Sc2GeP2 structure (PBE).

The space group is P4/mbm (No. 127) and the conventional cell measures 7.151, 7.151 and 3.519 Å, with angles of 90.00, 90.00 and 90.00 degrees. The inequivalent atoms are Sc at (0.153, 0.347, 0.000), Ge at (0.000, 0.000, 0.500) and P at (0.150, 0.650, 0.500).

For the polymorph energy (0 for the lowest one), the calculation gives 0 meV per atom.


(6)
Entry from the Alexandria database: a geometry-optimized Sc2GeP2 structure (PBE).

The space group is P4/mbm (No. 127) and the conventional cell measures 7.208, 7.208 and 3.534 Å, with angles of 90.00, 90.00 and 90.00 degrees. The inequivalent atoms are Sc at (0.153, 0.347, 0.000), Ge at (0.000, 0.000, 0.000) and P at (0.159, 0.659, 0.500).

For the polymorph energy (0 for the lowest one), the calculation gives 141 meV per atom.


(7)
Entry from the Alexandria database: a geometry-optimized Sc2Ge2P structure (PBE).

The space group is P4/mbm (No. 127) and the conventional cell measures 6.955, 6.955 and 4.088 Å, with angles of 90.00, 90.00 and 90.00 degrees. The inequivalent atoms are Sc at (0.179, 0.321, 0.000), Ge at (0.126, 0.626, 0.500) and P at (0.000, 0.000, 0.000).

For the polymorph energy (0 for the lowest one), the calculation gives 0 meV per atom.


(8)
Entry from the Alexandria database: a geometry-optimized Sc2Ge2P structure (PBE).

The space group is I4/mmm (No. 139) and the conventional cell measures 3.578, 3.578 and 14.858 Å, with angles of 90.00, 90.00 and 90.00 degrees. The inequivalent atoms are Sc at (0.000, 0.000, 0.098), Ge at (0.000, 0.500, 0.250) and P at (0.000, 0.000, 0.500).

For the polymorph energy (0 for the lowest one), the calculation gives 41 meV per atom.


(9)
Entry from the Alexandria database: a geometry-optimized ScGeP3 structure (PBE).

The space group is Pm-3m (No. 221) and the conventional cell measures 4.902, 4.902 and 4.902 Å, with angles of 90.00, 90.00 and 90.00 degrees. The inequivalent atoms are Sc at (0.000, 0.000, 0.000), Ge at (0.500, 0.500, 0.500) and P at (0.000, 0.000, 0.500).

For the polymorph energy (0 for the lowest one), the calculation gives 103 meV per atom.


(10)
Entry from the Alexandria database: a geometry-optimized ScGeP3 structure (PBE).

The space group is Pm-3m (No. 221) and the conventional cell measures 4.670, 4.670 and 4.670 Å, with angles of 90.00, 90.00 and 90.00 degrees. The inequivalent atoms are Sc at (0.000, 0.000, 0.000), Ge at (0.500, 0.500, 0.500) and P at (0.000, 0.500, 0.500).

For the polymorph energy (0 for the lowest one), the calculation gives 0 meV per atom.


(11)
Entry from the Alexandria database: a geometry-optimized ScGeP structure (PBE).

The space group is R-3m (No. 166, hexagonal axes) and the conventional cell measures 4.5789, 4.5789 and 21.0956 Å, with angles of 90.00, 90.00 and 120.00 degrees. The inequivalent atoms are Sc at (0.0000, 0.0000, 0.0980), Ge at (0.0000, 0.0000, 0.3348) and P at (0.0000, 0.0000, 0.2219).


(12)
Entry from the Alexandria database: a geometry-optimized ScGe3P structure (PBE).

The space group is Pm-3m (No. 221) and the conventional cell measures 5.098, 5.098 and 5.098 Å, with angles of 90.00, 90.00 and 90.00 degrees. The inequivalent atoms are Sc at (0.000, 0.000, 0.000), Ge at (0.000, 0.000, 0.500) and P at (0.500, 0.500, 0.500).

For the polymorph energy (0 for the lowest one), the calculation gives 526 meV per atom.


(13)
Entry from the Alexandria database: a geometry-optimized ScGeP2 structure (PBE).

The space group is I-42d (No. 122) and the conventional cell measures 5.923, 5.923 and 10.802 Å, with angles of 90.00, 90.00 and 90.00 degrees. The inequivalent atoms are Sc at (0.000, 0.000, 0.000), Ge at (0.000, 0.000, 0.500) and P at (0.226, 0.250, 0.625).


Number 1: magnetization 0.00 μB per formula unit, total energy -3.116 eV/atom. Number 2: magnetization 0.00 μB per formula unit, total energy -7.036 eV/atom. Number 3: magnetization 0.00 μB per formula unit, total energy -7.141 eV/atom. Number 4: magnetization 0.00 μB per formula unit, total energy -2.465 eV/atom. Number 5: magnetization 0.00 μB per formula unit, total energy -6.470 eV/atom. Number 6: magnetization 0.00 μB per formula unit, total energy -6.329 eV/atom. Number 7: magnetization 0.00 μB per formula unit, total energy -6.148 eV/atom. Number 8: magnetization 0.00 μB per formula unit, total energy -6.107 eV/atom. Number 9: magnetization 0.00 μB per formula unit, total energy -4.879 eV/atom. Number 10: magnetization 0.00 μB per formula unit, total energy -4.982 eV/atom. Number 11: magnetization 0.00 μB per formula unit, total energy -6.037 eV/atom. Number 12: magnetization 0.00 μB per formula unit, total energy -4.196 eV/atom. Number 13: magnetization 0.00 μB per formula unit, total energy -5.823 eV/atom.